Record 1
An optimized crystal structure of Ag7S2F2. Source: the Alexandria database, functional PBE-GGA.

Cell: 10.147 7.982 5.552 Å, 90.00 117.22 90.00°
Space group C2/m (No. 12)
One atom of each set of equivalent atoms:
Ag1 0.000 0.000 0.000 [2 per cell]
Ag2 0.026 0.500 0.777 [4 per cell]
Ag3 0.243 0.323 0.240 [8 per cell]
S1 0.245 0.500 0.667 [4 per cell]
F1 0.000 0.212 0.500 [4 per cell]

Properties
- E_form (uncorrected): -0.33 eV per atom
- Crystal system: monoclinic
- Excess energy over the best structure of this formula in the dataset: 0.00 eV per formula unit
- Size of the total moment: 0.00 μB/f.u.
- Final energy: -3.2337 eV per atom

Record 2
An optimized crystal structure of LiYPb. Source: the Alexandria database, functional PBE-GGA.

Cell: 4.996 12.940 4.871 Å, 90.00 90.00 90.00°
Space group Cmmm (No. 65)
One atom of each set of equivalent atoms:
Li1 0.000 0.189 0.000 [4 per cell]
Y1 0.000 0.000 0.500 [2 per cell]
Y2 0.000 0.500 0.000 [2 per cell]
Pb1 0.000 0.337 0.500 [4 per cell]

Properties
- Energy of formation: -20.6 kJ per mole of atoms
- Crystal system: orthorhombic
- Size of the total moment: 0.00 μB/f.u.
- Final energy: -4.2422 eV per atom

Record 3
An optimized crystal structure of Sc2TeSe. Source: the Alexandria database, functional PBE-GGA.

Cell: 7.044 7.044 7.044 Å, 90.00 90.00 90.00°
Space group Fm-3m (No. 225)
One atom of each set of equivalent atoms:
Sc1 0.250 0.250 0.250 [8 per cell]
Te1 0.000 0.000 0.000 [4 per cell]
Se1 0.000 0.000 0.500 [4 per cell]

Properties
- E_form (uncorrected): -1.08 eV per atom
- Crystal system: cubic
- Excess energy over the best structure of this formula in the dataset: 1.24 eV per formula unit
- Size of the total moment: 1.49 μB/f.u.
- Final energy: -5.9062 eV per atom